Record 1
Density functional theory data (PBE) for an optimized crystal structure of NiPt3Rh3.

Results
The total magnetization is 2.0 μB/cell. As for the density: 14.600 g/cm3. As for the calculated formation energy: 108 kJ/mol of formula units.

a = 7.3059 Å, b = 7.8884 Å, c = 7.5203 Å
α = 90.00°, β = 90.00°, γ = 90.00°
With the nearest neighbours (Å) after each atom.
Space group Cmmm (No. 65)
Symmetry-distinct sites (fractional):
Ni  0.0000  0.2347  0.0000 [4 per cell]  6 Rh 2.56-2.57, 4 Pt 2.59-2.82
Pt  0.0000  0.2419  0.5000 [4 per cell]  4 Pt 2.65-2.73, 6 Rh 2.68-2.76
Pt  0.2084  0.5000  0.0000 [4 per cell]  4 Ni 2.59-2.82, 6 Rh 2.69-2.77
Pt  0.2321  0.5000  0.5000 [4 per cell]  4 Pt 2.65-2.73, 6 Rh 2.78-2.79
Rh  0.0000  0.0000  0.2357 [4 per cell]  2 Ni 2.56, 4 Rh 2.69, 6 Pt 2.76-2.79
Rh  0.2500  0.2500  0.2400 [8 per cell]  2 Ni 2.57, 6 Pt 2.68-2.78, 2 Rh 2.69

Record 2
Density functional theory data (PBE) for an optimized crystal structure of ZrGaCoIr.

Results
The total magnetization is 0.0 μB/cell. As for the density: 11.241 g/cm3. As for the calculated formation energy: -222 kJ/mol of formula units.

a = 4.1925 Å, b = 4.1925 Å, c = 6.9264 Å
α = 90.00°, β = 90.00°, γ = 90.00°
With the nearest neighbours (Å) after each atom.
Space group I-4m2 (No. 119)
Symmetry-distinct sites (fractional):
Zr  0.0000  0.0000  0.0000 [2 per cell]  4 Co 2.72, 4 Ir 2.72, 4 Ga 2.96
Ga  0.0000  0.0000  0.5000 [2 per cell]  4 Co 2.72, 4 Ir 2.72, 4 Zr 2.96
Co  0.0000  0.5000  0.2500 [2 per cell]  4 Zr 2.72, 4 Ga 2.72, 4 Ir 2.96
Ir  0.0000  0.5000  0.7500 [2 per cell]  4 Zr 2.72, 4 Ga 2.72, 4 Co 2.96

no.,total DFT energy (no corrections) (eV/cell)
1,-179.36
2,-59.68